Compound: ReNiOs
Source: Alexandria
Functional: GGA-PBE
Structure: optimized geometry

Summary:
formation energy from the elements: 0.009 eV/atom

Lattice parameters (Å, degrees): 2.702 3.796 7.902 90.00 90.00 90.00
Space group Imm2 (No. 44)
Asymmetric unit:
Re  0.000  0.000  0.000
Ni  0.000  0.000  0.667
Os  0.000  0.000  0.332